Record 1
Here is Ni3TeAs after structural relaxation from Alexandria via LeMat-Bulk. Energies are from PBE.

Cell and atoms, written as POSCAR:
```
Ni3TeAs
1.0
4.643 0.000 0.000
0.000 4.643 0.000
0.000 0.000 4.643
Ni Te As
3 1 1
direct
0.000 0.000 0.500
0.000 0.500 0.000
0.500 0.000 0.000
0.000 0.000 0.000
0.500 0.500 0.500
```

energy above the lowest structure with this stoichiometry: 493 meV per atom
formation energy without anion corrections: 4.25 eV/f.u.
calculated total energy: -4.177 eV/atom

Record 2
Here is Ac2PdSe after structural relaxation from Alexandria via LeMat-Bulk. Energies are from PBE.

Cell and atoms, written as POSCAR:
```
Ac2PdSe
1.0
2.180 1.259 7.837
-2.180 1.259 7.837
0.000 -2.518 7.837
Ac Pd Se
2 1 1
direct
0.243 0.243 0.243
0.757 0.757 0.757
0.500 0.500 0.500
0.000 0.000 0.000
```

energy above the lowest structure with this stoichiometry: 6 meV per atom
formation energy without anion corrections: -5.17 eV/f.u.
calculated total energy: -5.515 eV/atom

Spin magnetization values, unit μB/cell, following the record order: 0.0 0.0.